The following is a DFT calculation (GGA+U) of MnCrAu2O after structural relaxation.

Unit cell a=5.174 b=5.174 c=3.614 alpha=90.00 beta=90.00 gamma=90.00
Space group P4/mmm (No. 123)
Symmetry-distinct sites (fractional):
Mn  0.000  0.000  0.000
Cr  0.500  0.500  0.500
Au  0.000  0.500  0.000
O  0.000  0.000  0.500

Total moment, μB per cell: 0.47
Energy, eV/atom: -5.245